{
  "formula": "TiMn2Co2",
  "functional": "PBE",
  "state": "optimized geometry",
  "cell": [[6.898, 0.000, 0.000], [0.000, 6.898, 0.000], [0.000, 0.000, 2.466]],
  "species": ["Mn", "Mn", "Co", "Mn", "Mn", "Ti", "Co", "Co", "Ti", "Co"],
  "fractional_positions": [[0.174, 0.674, 0.500], [0.826, 0.326, 0.500], [0.622, 0.122, 0.000], [0.326, 0.174, 0.500], [0.674, 0.826, 0.500], [0.000, 0.000, 0.000], [0.378, 0.878, 0.000], [0.122, 0.378, 0.000], [0.500, 0.500, 0.000], [0.878, 0.622, 0.000]],
  "e_tot_ev_per_atom": -8.06,
  "delta_e_f_ev_per_atom": 0.030
}

{
  "formula": "Ti6MnCo",
  "functional": "PBE",
  "state": "optimized geometry",
  "cell": [[-1.749, -5.114, 0.590], [5.036, 0.855, -1.861], [0.240, 1.875, 5.230]],
  "species": ["Ti", "Co", "Ti", "Ti", "Ti", "Ti", "Mn", "Ti"],
  "fractional_positions": [[0.545, 0.948, 0.753], [0.500, 0.500, 0.500], [0.250, 0.250, 0.748], [0.052, 0.455, 0.247], [0.455, 0.052, 0.247], [0.750, 0.750, 0.252], [0.000, 0.000, 0.000], [0.948, 0.545, 0.753]],
  "e_tot_ev_per_atom": -7.83,
  "delta_e_f_ev_per_atom": 0.127
}

{
  "formula": "TiMn3Co4",
  "functional": "PBE",
  "state": "optimized geometry",
  "cell": [[-3.051, 2.643, -2.955], [4.372, -0.711, -2.326], [-2.088, -4.431, 1.016]],
  "species": ["Co", "Co", "Ti", "Mn", "Mn", "Co", "Mn", "Co"],
  "fractional_positions": [[0.000, 0.000, 0.500], [0.000, 0.500, 0.000], [0.000, 0.000, 0.000], [0.500, 0.000, 0.500], [0.500, 0.500, 0.000], [0.500, 0.500, 0.500], [0.000, 0.500, 0.500], [0.500, 0.000, 0.000]],
  "e_tot_ev_per_atom": -8.13,
  "delta_e_f_ev_per_atom": -0.154
}

{
  "formula": "TiMnCo3",
  "functional": "PBE",
  "state": "optimized geometry",
  "cell": [[-2.473, 2.241, -2.438], [-2.881, 0.045, 2.963], [1.633, 3.472, 1.535]],
  "species": ["Co", "Co", "Mn", "Co", "Ti"],
  "fractional_positions": [[0.000, 0.000, 0.500], [0.000, 0.500, 0.000], [0.000, 0.000, 0.000], [0.500, 0.000, 0.000], [0.500, 0.500, 0.500]],
  "e_tot_ev_per_atom": -6.81,
  "delta_e_f_ev_per_atom": 0.865
}

{
  "formula": "Ti6MnCo5",
  "functional": "PBE",
  "state": "optimized geometry",
  "cell": [[-4.121, 0.758, 0.364], [-0.540, -0.096, -5.919], [1.207, -6.533, 2.981]],
  "species": ["Mn", "Ti", "Ti", "Co", "Ti", "Ti", "Co", "Co", "Co", "Ti", "Co", "Ti"],
  "fractional_positions": [[0.000, 0.000, 0.000], [0.835, 0.586, 0.669], [0.835, 0.083, 0.669], [0.668, 0.668, 0.337], [0.165, 0.414, 0.331], [0.165, 0.917, 0.331], [0.667, 0.167, 0.333], [0.000, 0.500, 0.000], [0.332, 0.332, 0.663], [0.500, 0.753, 0.000], [0.333, 0.833, 0.667], [0.500, 0.247, 0.000]],
  "e_tot_ev_per_atom": -8.06,
  "delta_e_f_ev_per_atom": -0.389
}

{
  "formula": "Ti2MnCo2",
  "functional": "PBE",
  "state": "optimized geometry",
  "cell": [[6.868, 0.000, 0.000], [0.000, 6.868, 0.000], [0.000, 0.000, 2.758]],
  "species": ["Ti", "Ti", "Mn", "Ti", "Co", "Co", "Mn", "Ti", "Co", "Co"],
  "fractional_positions": [[0.160, 0.340, 0.000], [0.840, 0.660, 0.000], [0.000, 0.000, 0.000], [0.660, 0.160, 0.000], [0.358, 0.142, 0.500], [0.642, 0.858, 0.500], [0.500, 0.500, 0.000], [0.340, 0.840, 0.000], [0.142, 0.642, 0.500], [0.858, 0.358, 0.500]],
  "e_tot_ev_per_atom": -7.81,
  "delta_e_f_ev_per_atom": 0.020
}

{
  "formula": "TiMnCo6",
  "functional": "PBE",
  "state": "optimized geometry",
  "cell": [[4.288, 0.789, -0.048], [1.109, 4.217, -0.048], [1.431, 1.327, 6.043]],
  "species": ["Co", "Ti", "Co", "Co", "Co", "Co", "Co", "Mn"],
  "fractional_positions": [[0.461, 0.946, 0.702], [0.500, 0.500, 0.500], [0.361, 0.361, 0.942], [0.539, 0.054, 0.298], [0.054, 0.539, 0.298], [0.946, 0.461, 0.702], [0.639, 0.639, 0.058], [0.000, 0.000, 0.000]],
  "e_tot_ev_per_atom": -7.15,
  "delta_e_f_ev_per_atom": 0.316
}

{
  "formula": "TiMn2Co2",
  "functional": "PBE",
  "state": "optimized geometry",
  "cell": [[-3.081, -1.149, -6.040], [-3.622, -5.120, 2.822], [-1.792, 1.603, 0.609]],
  "species": ["Mn", "Co", "Ti", "Co", "Mn", "Mn", "Co", "Ti", "Mn", "Co"],
  "fractional_positions": [[0.619, 0.119, 0.000], [0.176, 0.676, 0.500], [0.500, 0.500, 0.000], [0.676, 0.824, 0.500], [0.881, 0.619, 0.000], [0.119, 0.381, 0.000], [0.324, 0.176, 0.500], [0.000, 0.000, 0.000], [0.381, 0.881, 0.000], [0.824, 0.324, 0.500]],
  "e_tot_ev_per_atom": -8.08,
  "delta_e_f_ev_per_atom": 0.012
}